1.
Below is a relaxed structure of KMnBr3, with properties calculated at the PBE level.

The structure in POSCAR format:
```
KMnBr3
1.0
-0.394 -2.891 2.880
4.229 -6.295 -5.741
13.655 3.901 5.782
Br Mn K
12 4 4
Cartesian
9.926 -2.853 2.869 Br
16.296 -1.096 2.586 Br
12.829 -2.856 0.346 Br
1.346 -0.456 1.185 Br
11.910 0.633 3.722 Br
4.661 -2.429 2.575 Br
7.564 -2.431 0.052 Br
1.195 -4.188 0.335 Br
9.915 -5.449 0.262 Br
7.576 0.164 2.659 Br
5.581 -5.918 -0.801 Br
16.145 -4.828 1.736 Br
3.967 -7.221 -2.330 Mn
10.266 -2.745 0.106 Mn
13.523 1.937 5.251 Mn
7.225 -2.539 2.815 Mn
9.189 0.104 5.737 K
13.310 -2.470 3.716 K
8.301 -5.389 -2.816 K
4.180 -2.814 -0.795 K
```

## Properties
The offset from the most stable computed form is 0.000 eV/f.u.


2.
Below is a relaxed structure of K2MnBr, with properties calculated at the PBE level.

The structure in POSCAR format:
```
K2MnBr
1.0
10.196 0.140 -0.407
9.358 4.051 -0.407
1.022 0.219 4.038
K Br Mn
2 1 1
Cartesian
18.275 3.916 -0.472 K
14.826 3.177 2.577 K
6.000 1.286 0.577 Br
11.317 2.425 1.340 Mn
```

## Properties
The offset from the most stable computed form is 0.178 eV/f.u.


3.
Below is a relaxed structure of K2MnBr, with properties calculated at the PBE level.

The structure in POSCAR format:
```
K2MnBr
1.0
6.095 0.000 0.000
0.000 4.058 0.001
0.000 -0.003 5.892
K Br Mn
2 1 1
Cartesian
0.000 0.503 5.156 K
3.048 0.505 2.206 K
3.048 2.538 5.156 Br
0.000 2.533 2.212 Mn
```

## Properties
The offset from the most stable computed form is 0.441 eV/f.u.


4.
Below is a relaxed structure of KMnBr3, with properties calculated at the PBE level.

The structure in POSCAR format:
```
KMnBr3
1.0
-5.418 0.010 -2.262
-2.166 -1.719 5.179
-0.654 5.614 1.590
Mn Br K
1 3 1
Cartesian
-4.119 1.952 2.253 Mn
-1.083 -0.860 2.590 Br
-2.709 0.005 -1.131 Br
-0.327 2.807 0.795 Br
0.000 0.000 0.000 K
```

## Properties
The offset from the most stable computed form is 5.877 eV/f.u.


5.
Below is a relaxed structure of K3Mn2Br7, with properties calculated at the PBE level.

The structure in POSCAR format:
```
K3Mn2Br7
1.0
-3.661 -2.967 -2.582
3.885 -2.183 -3.002
1.417 -7.262 11.925
Br K Mn
7 3 2
Cartesian
-1.534 -3.388 0.477 Br
2.239 -2.996 0.267 Br
1.035 -8.511 2.721 Br
0.000 0.000 0.000 Br
3.176 -9.024 5.864 Br
0.606 -3.900 3.621 Br
-0.597 -9.415 6.074 Br
0.662 -6.108 0.489 K
0.112 -2.575 -2.792 K
0.980 -6.303 5.852 K
1.331 -10.410 4.483 Mn
0.311 -2.001 1.858 Mn
```

## Properties
The offset from the most stable computed form is 0.000 eV/f.u.


6.
Below is a relaxed structure of KMn2Br, with properties calculated at the PBE level.

The structure in POSCAR format:
```
KMn2Br
1.0
-0.393 0.919 -3.312
2.269 -2.516 0.700
-7.434 -6.999 -1.061
K Mn Br
1 2 1
Cartesian
-4.637 -6.048 -2.102 K
-3.398 -3.199 -0.485 Mn
-0.319 -0.301 -0.046 Mn
-0.920 -2.548 -1.571 Br
```

## Properties
The offset from the most stable computed form is 1.869 eV/f.u.


7.
Below is a relaxed structure of KMn2Br, with properties calculated at the PBE level.

The structure in POSCAR format:
```
KMn2Br
1.0
0.000 3.938 3.938
3.938 0.000 3.938
3.938 3.938 0.000
K Mn Br
1 2 1
Cartesian
0.000 0.000 0.000 K
5.907 5.907 5.907 Mn
1.969 1.969 1.969 Mn
3.938 3.938 3.938 Br
```

## Properties
The offset from the most stable computed form is 3.001 eV/f.u.


8.
Below is a relaxed structure of K3MnBr7, with properties calculated at the PBE level.

The structure in POSCAR format:
```
K3MnBr7
1.0
7.114 0.000 0.000
0.000 10.246 0.000
0.000 0.000 10.246
Mn Br K
2 14 6
Cartesian
0.000 5.123 0.000 Mn
0.000 0.000 5.123 Mn
1.752 3.908 9.031 Br
1.752 6.337 1.215 Br
0.000 1.742 6.865 Br
3.557 5.123 5.123 Br
0.000 6.865 8.503 Br
5.361 3.908 9.031 Br
1.752 1.215 3.908 Br
5.361 6.337 1.215 Br
0.000 3.380 1.742 Br
0.000 8.503 3.380 Br
5.361 9.031 6.337 Br
1.752 9.031 6.337 Br
5.361 1.215 3.908 Br
3.557 0.000 0.000 Br
3.557 1.749 6.872 K
0.000 0.000 0.000 K
3.557 3.373 1.749 K
0.000 5.123 5.123 K
3.557 6.872 8.496 K
3.557 8.496 3.373 K
```


Results for uncorrected formation energy: -1.171 -0.148 -0.082 0.005 -1.238 0.670 0.953 -1.175 (in eV per atom, following the order of the records).